Density functional theory data (PBE) for a relaxed MgGaSn crystal.

Cell and atoms, written as extended XYZ:
```
6
Lattice="-2.150 -5.169 -1.350 2.111 -4.656 -2.218 1.819 -3.695 4.690" Properties=species:S:1:pos:R:3 pbc="T T T"
Sn 2.304 -7.879 0.446
Mg 1.174 -6.053 -1.826
Ga 1.361 -3.316 -0.154
Mg 0.606 -7.468 2.948
Ga 0.419 -10.205 1.277
Sn -0.524 -5.642 0.676
```

Output
ΔE to the lowest computed polymorph (meV/atom): 6
DFT formation energy (eV/atom): -0.05
DFT total energy (eV per cell): -17.55